Entry from OQMD: TmLuCuTe3 after structural relaxation (PBE).

abc: 4.0552 14.2956 10.8520
angles: 90.00 90.00 90.00
Space group Cmcm (No. 63)
Asymmetric unit:
1 Tm 0.0000 0.0000 0.0000
2 Lu 0.0000 0.2276 0.2500
3 Cu 0.0000 0.4716 0.7500
4 Te 0.0000 0.1006 0.7500
5 Te 0.0000 0.3502 0.5658

Properties
V: 629.1 Å³ per cell
Spin magnetization: 0.029 μB/f.u.
Energy above the most stable polymorph in this dataset: 5.4 meV per atom
Calculated total energy: -110.5 eV per cell

***

Entry from OQMD: LiOs3Pb5 after structural relaxation (PBE).

abc: 5.5638 5.5638 8.6058
angles: 90.00 90.00 120.00
Space group P6/mmm (No. 191)
Asymmetric unit:
1 Li 0.0000 0.0000 0.0000
2 Os 0.0000 0.5000 0.5000
3 Pb 0.0000 0.0000 0.5000
4 Pb 0.3333 0.6667 0.2112

Properties
V: 230.7 Å³ per cell
Spin magnetization: 3.002 μB/f.u.
Calculated total energy: -49.2 eV per cell

***

Entry from OQMD: SmYPd2 after structural relaxation (PBE).

abc: 4.5695 3.7986 10.6905
angles: 90.00 90.00 90.00
Space group Amm2 (No. 38)
Asymmetric unit:
1 Sm 0.0000 0.0000 0.0000
2 Y 0.5000 0.0000 0.2733
3 Pd 0.0000 0.0000 0.7232
4 Pd 0.5000 0.0000 0.5503

Properties
V: 185.6 Å³ per cell
Spin magnetization: 0.004 μB/f.u.
Calculated formation energy: -886 meV per atom
Calculated total energy: -50.1 eV per cell

***

Entry from OQMD: BaLu2 after structural relaxation (PBE).

abc: 9.9357 9.9357 9.9357
angles: 90.00 90.00 90.00
Space group Fd-3m (No. 227, origin choice 2)
Asymmetric unit:
1 Ba 0.1250 0.1250 0.1250
2 Lu 0.0000 0.0000 0.5000

Properties
V: 980.8 Å³ per cell
Spin magnetization: 2.028 μB/f.u.
Energy above the most stable polymorph in this dataset: 0.0 meV per atom
Calculated total energy: -79.2 eV per cell

***

Entry from OQMD: YHoFe2Ge2 after structural relaxation (PBE).

abc: 4.0947 4.0947 6.5217
angles: 90.00 90.00 90.00
Space group P4mm (No. 99)
Asymmetric unit:
1 Y 0.0000 0.0000 0.0000
2 Ho 0.5000 0.5000 0.6221
3 Fe 0.0000 0.5000 0.3149
4 Ge 0.0000 0.0000 0.5115
5 Ge 0.5000 0.5000 0.1168

Properties
V: 109.3 Å³ per cell
Spin magnetization: 0.325 μB/f.u.
Calculated total energy: -40.1 eV per cell

***

Entry from OQMD: TbTc2Pb2 after structural relaxation (PBE).

abc: 4.6723 4.6723 10.5489
angles: 90.00 90.00 90.00
Space group I4/mmm (No. 139)
Asymmetric unit:
1 Tb 0.0000 0.0000 0.0000
2 Tc 0.0000 0.0000 0.3953
3 Pb 0.0000 0.5000 0.2500

Properties
V: 230.3 Å³ per cell
Spin magnetization: 0.011 μB/f.u.
Energy above the most stable polymorph in this dataset: 0.0 meV per atom
Calculated total energy: -62.8 eV per cell